Crystalline NaTaFeSn at its relaxed geometry. Source: OQMD via LeMat-Bulk, functional GGA-PBE.

Structure (CIF):
```
data_NaTaFeSn
_chemical_formula_sum 'Na4 Ta4 Fe4 Sn4'
_space_group_name_H-M_alt 'F -4 3 m'
_space_group_IT_number 216
_space_group_name_Hall 'F -4 2 3'
_cell_length_a 6.361
_cell_length_b 6.361
_cell_length_c 6.361
_cell_angle_alpha 90.00
_cell_angle_beta 90.00
_cell_angle_gamma 90.00
loop_
_atom_site_label
_atom_site_type_symbol
_atom_site_fract_x
_atom_site_fract_y
_atom_site_fract_z
Na1 Na 0.000 0.000 0.000
Ta1 Ta 0.250 0.250 0.250
Fe1 Fe 0.000 0.000 0.500
Sn1 Sn 0.250 0.250 0.750
```

Calculated values
Mass density   9.768 g/cm³
Total energy   -6.02 eV per atom
Relative energy among the computed polymorphs   0 meV/atom